Crystalline Na3HfO at its relaxed geometry, computed with PBE.

a b c (Å): 6.1620 6.1620 6.1620
angles (deg): 90.00 90.00 90.00
Last column: magnetic moment on the atom in μB.
Sites, in units of the cell vectors:
Na 0.0000 0.5000 0.0000  0.07
Na 0.5000 0.0000 0.0000  0.09
Na 0.0000 0.0000 0.5000  0.05
O 0.5000 0.5000 0.5000  -0.91
Hf 0.0000 0.0000 0.0000  1.74

- Formation energy from raw total energies: 1.550 eV per atom
- SG: No. 221